Record 1
# HoCdAgF6 PBE optimized geometry
# - formation energy without anion corrections (meV per atom) = -2766
data_HoCdAgF6
_cell_length_a 5.3328
_cell_length_b 5.3328
_cell_length_c 10.8018
_cell_angle_alpha 90.00
_cell_angle_beta 90.00
_cell_angle_gamma 90.00
_symmetry_space_group_name_H-M 'P 42 n m'
_symmetry_Int_Tables_number 102
loop_
_symmetry_equiv_pos_as_xyz
'x,y,z'
'-y+1/2,x+1/2,z+1/2'
'-x,-y,z'
'y+1/2,-x+1/2,z+1/2'
'-x+1/2,y+1/2,z+1/2'
'y,x,z'
'x+1/2,-y+1/2,z+1/2'
'-y,-x,z'
loop_
_atom_site_label
_atom_site_fract_x
_atom_site_fract_y
_atom_site_fract_z
Ho1 0.0000 0.0000 0.0000
Cd1 0.0000 0.0000 0.3353
Ag1 0.0000 0.0000 0.6670
F1 0.1787 0.1787 0.1619
F2 0.2035 0.2035 0.8570
F3 0.2118 0.2118 0.4855

Record 2
# PaCo2Si2Pt PBE optimized geometry
# - formation energy without anion corrections (meV per atom) = -696
data_PaCo2Si2Pt
_cell_length_a 3.9896
_cell_length_b 3.9896
_cell_length_c 6.4800
_cell_angle_alpha 90.00
_cell_angle_beta 90.00
_cell_angle_gamma 120.00
_symmetry_space_group_name_H-M 'P -3 m 1'
_symmetry_Int_Tables_number 164
_symmetry_space_group_name_Hall '-P 3 2"'
loop_
_atom_site_label
_atom_site_fract_x
_atom_site_fract_y
_atom_site_fract_z
Pa1 0.0000 0.0000 0.0000
Co1 0.3333 0.6667 0.7241
Si1 0.3333 0.6667 0.3121
Pt1 0.0000 0.0000 0.5000

Record 3
# PmMnPdAu PBE optimized geometry
# - formation enthalpy at 0 K (eV/atom) = -0.398
data_PmMnPdAu
_cell_length_a 6.8885
_cell_length_b 6.8885
_cell_length_c 6.8885
_cell_angle_alpha 90.00
_cell_angle_beta 90.00
_cell_angle_gamma 90.00
_symmetry_space_group_name_H-M 'F -4 3 m'
_symmetry_Int_Tables_number 216
_symmetry_space_group_name_Hall 'F -4 2 3'
loop_
_atom_site_label
_atom_site_fract_x
_atom_site_fract_y
_atom_site_fract_z
Pm1 0.0000 0.0000 0.0000
Mn1 0.0000 0.0000 0.5000
Pd1 0.2500 0.2500 0.7500
Au1 0.2500 0.2500 0.2500

Record 4
# Ga2SiHgO6 PBE optimized geometry
# - formation energy without anion corrections (meV per atom) = -1747
data_Ga2SiHgO6
_cell_length_a 9.0834
_cell_length_b 11.4851
_cell_length_c 5.6871
_cell_angle_alpha 90.00
_cell_angle_beta 116.29
_cell_angle_gamma 90.00
_symmetry_space_group_name_H-M 'C 1 2/c 1'
_symmetry_Int_Tables_number 15
loop_
_symmetry_equiv_pos_as_xyz
'x,y,z'
'-x,-y,-z'
'-x,y,-z+1/2'
'x,-y,z+1/2'
'x+1/2,y+1/2,z'
'-x+1/2,-y+1/2,-z'
'-x+1/2,y+1/2,-z+1/2'
'x+1/2,-y+1/2,z+1/2'
loop_
_atom_site_label
_atom_site_fract_x
_atom_site_fract_y
_atom_site_fract_z
Ga1 0.1334 0.0807 0.1606
Si1 0.0000 0.3008 0.7500
Hg1 0.0000 0.3928 0.2500
O1 0.0992 0.2305 0.0216
O2 0.1183 0.3939 0.6766
O3 0.1289 0.0573 0.4841

Record 5
# MgZrPb2 PBE optimized geometry
# - formation enthalpy at 0 K (eV/atom) = 0.033
data_MgZrPb2
_cell_length_a 10.6326
_cell_length_b 3.3178
_cell_length_c 5.8521
_cell_angle_alpha 90.00
_cell_angle_beta 99.58
_cell_angle_gamma 90.00
_symmetry_space_group_name_H-M 'C 1 2/m 1'
_symmetry_Int_Tables_number 12
loop_
_symmetry_equiv_pos_as_xyz
'x,y,z'
'-x,-y,-z'
'-x,y,-z'
'x,-y,z'
'x+1/2,y+1/2,z'
'-x+1/2,-y+1/2,-z'
'-x+1/2,y+1/2,-z'
'x+1/2,-y+1/2,z'
loop_
_atom_site_label
_atom_site_fract_x
_atom_site_fract_y
_atom_site_fract_z
Mg1 0.0000 0.0000 0.0000
Zr1 0.0000 0.5000 0.5000
Pb1 0.2455 0.0000 0.7407

Record 6
# Hg2TePd9 PBE optimized geometry
# - formation energy without anion corrections (meV per atom) = -154
data_Hg2TePd9
_cell_length_a 4.0542
_cell_length_b 4.0542
_cell_length_c 12.2313
_cell_angle_alpha 90.00
_cell_angle_beta 90.00
_cell_angle_gamma 90.00
_symmetry_space_group_name_H-M 'P 4/m m m'
_symmetry_Int_Tables_number 123
_symmetry_space_group_name_Hall '-P 4 2'
loop_
_atom_site_label
_atom_site_fract_x
_atom_site_fract_y
_atom_site_fract_z
Hg1 0.0000 0.0000 0.1650
Te1 0.0000 0.0000 0.5000
Pd1 0.0000 0.5000 0.0000
Pd2 0.0000 0.5000 0.3357
Pd3 0.5000 0.5000 0.1691
Pd4 0.5000 0.5000 0.5000

Record 7
# CePmTlIn PBE optimized geometry
# - formation enthalpy at 0 K (eV/atom) = -0.345
# - offset from the most stable computed form (eV per formula unit) = 0.00
data_CePmTlIn
_cell_length_a 7.7547
_cell_length_b 7.7547
_cell_length_c 7.7547
_cell_angle_alpha 90.00
_cell_angle_beta 90.00
_cell_angle_gamma 90.00
_symmetry_space_group_name_H-M 'F -4 3 m'
_symmetry_Int_Tables_number 216
_symmetry_space_group_name_Hall 'F -4 2 3'
loop_
_atom_site_label
_atom_site_fract_x
_atom_site_fract_y
_atom_site_fract_z
Ce1 0.0000 0.0000 0.0000
Pm1 0.0000 0.0000 0.5000
Tl1 0.2500 0.2500 0.7500
In1 0.2500 0.2500 0.2500

Record 8
# V2GaCo2 PBE optimized geometry
# - formation enthalpy at 0 K (eV/atom) = -0.023
data_V2GaCo2
_cell_length_a 4.1581
_cell_length_b 5.2527
_cell_length_c 11.7653
_cell_angle_alpha 90.00
_cell_angle_beta 90.00
_cell_angle_gamma 90.00
_symmetry_space_group_name_H-M 'I m m a'
_symmetry_Int_Tables_number 74
_symmetry_space_group_name_Hall '-I 2b 2'
loop_
_atom_site_label
_atom_site_fract_x
_atom_site_fract_y
_atom_site_fract_z
V1 0.0000 0.2500 0.0006
V2 0.0000 0.2500 0.3583
Ga1 0.0000 0.2500 0.6330
Co1 0.0000 0.0008 0.1791

Record 9
# Cs2Dy2TiS6 PBE optimized geometry
# - formation energy without anion corrections (meV per atom) = -1679
data_Cs2Dy2TiS6
_cell_length_a 6.7607
_cell_length_b 11.6058
_cell_length_c 8.5421
_cell_angle_alpha 90.00
_cell_angle_beta 106.05
_cell_angle_gamma 90.00
_symmetry_space_group_name_H-M 'C 1 2/m 1'
_symmetry_Int_Tables_number 12
loop_
_symmetry_equiv_pos_as_xyz
'x,y,z'
'-x,-y,-z'
'-x,y,-z'
'x,-y,z'
'x+1/2,y+1/2,z'
'-x+1/2,-y+1/2,-z'
'-x+1/2,y+1/2,-z'
'x+1/2,-y+1/2,z'
loop_
_atom_site_label
_atom_site_fract_x
_atom_site_fract_y
_atom_site_fract_z
Cs1 0.0000 0.1705 0.0000
Dy1 0.0000 0.3330 0.5000
Ti1 0.0000 0.0000 0.5000
S1 0.2144 0.1525 0.6741
S2 0.2439 0.0000 0.3280

Record 10
# Tb12HoTm2 PBE optimized geometry
# - formation enthalpy at 0 K (eV/atom) = 0.119
data_Tb12HoTm2
_cell_length_a 3.5488
_cell_length_b 5.5691
_cell_length_c 24.2402
_cell_angle_alpha 90.00
_cell_angle_beta 94.17
_cell_angle_gamma 90.00
_symmetry_space_group_name_H-M 'P 1 2/m 1'
_symmetry_Int_Tables_number 10
loop_
_symmetry_equiv_pos_as_xyz
'x,y,z'
'-x,-y,-z'
'-x,y,-z'
'x,-y,z'
loop_
_atom_site_label
_atom_site_fract_x
_atom_site_fract_y
_atom_site_fract_z
Tb1 0.0369 0.0000 0.0732
Tb2 0.2247 0.0000 0.4443
Tb3 0.2851 0.5000 0.5762
Tb4 0.3347 0.0000 0.6713
Tb5 0.4005 0.0000 0.7988
Tb6 0.4303 0.5000 0.8624
Ho1 0.5000 0.5000 0.0000
Tm1 0.1354 0.5000 0.2711

Record 11
# NaCr2Br6 PBE optimized geometry
# - formation energy without anion corrections (meV per atom) = -877
data_NaCr2Br6
_cell_length_a 6.7092
_cell_length_b 6.7092
_cell_length_c 6.5626
_cell_angle_alpha 90.00
_cell_angle_beta 90.00
_cell_angle_gamma 120.00
_symmetry_space_group_name_H-M 'P -3 1 m'
_symmetry_Int_Tables_number 162
_symmetry_space_group_name_Hall '-P 3 2'
loop_
_atom_site_label
_atom_site_fract_x
_atom_site_fract_y
_atom_site_fract_z
Na1 0.0000 0.0000 0.0000
Cr1 0.3333 0.6667 0.5000
Br1 0.0000 0.3654 0.7222

Record 12
# LiGdBi2 PBE optimized geometry
# - formation enthalpy at 0 K (eV/atom) = -0.526
# - offset from the most stable computed form (eV per formula unit) = 0.18
data_LiGdBi2
_cell_length_a 3.5484
_cell_length_b 3.5484
_cell_length_c 8.7374
_cell_angle_alpha 90.00
_cell_angle_beta 90.00
_cell_angle_gamma 90.00
_symmetry_space_group_name_H-M 'P 4/m m m'
_symmetry_Int_Tables_number 123
_symmetry_space_group_name_Hall '-P 4 2'
loop_
_atom_site_label
_atom_site_fract_x
_atom_site_fract_y
_atom_site_fract_z
Li1 0.0000 0.0000 0.0000
Gd1 0.0000 0.0000 0.5000
Bi1 0.5000 0.5000 0.2361